Entry 1:
GdUIr2 | PBE | relaxed

Results
As for the theoretical density: 15.69 g/cm³. The value obtained for the volume is 82.52 Å³/f.u. As for the formation energy from the elements: -0.580 eV per atom. As for the uncorrected energy: -45.4 eV per cell. As for the polymorph energy (0 for the lowest one): 0.000 eV per atom.

Unit cell a=3.4123 b=3.4123 c=7.0866 alpha=90.00 beta=90.00 gamma=90.00
Fractional coordinates of all 4 atoms:
Gd1 0.0000 0.0000 0.0000
U1 0.0000 0.0000 0.5000
Ir1 0.5000 0.5000 0.2774
Ir2 0.5000 0.5000 0.7226

---

Entry 2:
GdUIr2 | PBE | relaxed

Results
As for the theoretical density: 14.88 g/cm³. The value obtained for the volume is 86.99 Å³/f.u. As for the formation energy from the elements: -0.578 eV per atom. As for the uncorrected energy: -45.4 eV per cell. As for the polymorph energy (0 for the lowest one): 0.002 eV per atom.

Unit cell a=5.5236 b=5.5236 c=5.5236 alpha=48.60 beta=48.60 gamma=48.60
Fractional coordinates of all 4 atoms:
Gd1 0.0000 0.0000 0.0000
U1 0.5000 0.5000 0.5000
Ir1 0.2183 0.2183 0.2183
Ir2 0.7817 0.7817 0.7817

---

Entry 3:
GdUIr2 | PBE | relaxed

Results
As for the theoretical density: 15.85 g/cm³. The value obtained for the volume is 81.69 Å³/f.u. As for the formation energy from the elements: -0.515 eV per atom. As for the uncorrected energy: -45.2 eV per cell. As for the polymorph energy (0 for the lowest one): 0.065 eV per atom.

Unit cell a=4.8703 b=4.8703 c=4.8703 alpha=60.00 beta=60.00 gamma=60.00
Fractional coordinates of all 4 atoms:
Gd1 0.0000 0.0000 0.0000
U1 0.5000 0.5000 0.5000
Ir1 0.2500 0.2500 0.2500
Ir2 0.7500 0.7500 0.7500

---

Entry 4:
GdYIr | PBE | relaxed

Results
As for the theoretical density: 8.01 g/cm³. The value obtained for the volume is 90.92 Å³/f.u. As for the formation energy from the elements: -0.533 eV per atom. As for the uncorrected energy: -31.0 eV per cell. As for the polymorph energy (0 for the lowest one): 0.119 eV per atom.

Unit cell a=4.1163 b=4.1163 c=6.1964 alpha=90.00 beta=90.00 gamma=120.00
Fractional coordinates of all 3 atoms:
Gd1 0.0000 0.0000 0.0000
Y1 0.6667 0.3333 0.5371
Ir1 0.3333 0.6667 0.7679

---

Entry 5:
GdY2Ir | PBE | relaxed

Results
As for the theoretical density: 8.08 g/cm³. The value obtained for the volume is 108.41 Å³/f.u. As for the formation energy from the elements: -0.390 eV per atom. As for the uncorrected energy: -37.4 eV per cell. As for the polymorph energy (0 for the lowest one): 0.000 eV per atom.

Unit cell a=3.4998 b=3.4998 c=8.8508 alpha=90.00 beta=90.00 gamma=90.00
Fractional coordinates of all 4 atoms:
Gd1 0.0000 0.0000 0.0000
Y1 0.5000 0.5000 0.3152
Y2 0.5000 0.5000 0.6848
Ir1 0.0000 0.0000 0.5000

---

Entry 6:
GdYIr | PBE | relaxed

Results
As for the theoretical density: 9.30 g/cm³. The value obtained for the volume is 78.30 Å³/f.u. As for the formation energy from the elements: -0.543 eV per atom. As for the uncorrected energy: -31.0 eV per cell. As for the polymorph energy (0 for the lowest one): 0.109 eV per atom.

Unit cell a=6.8743 b=6.8743 c=6.8743 alpha=150.56 beta=150.56 gamma=42.12
Fractional coordinates of all 3 atoms:
Gd1 0.0000 0.0000 0.0000
Y1 0.2542 0.2542 0.0000
Ir1 0.6281 0.6281 0.0000